Computed, not measured: an optimized crystal structure of La8Rh3Br4F at the PBE-GGA level of DFT.

Computed properties:
The calculation puts the formation energy from raw total energies at -1.312 eV per atom. Its total energy is -5.69 eV per atom. The space group is C2/m (12).

abc: 8.244 9.255 8.249
angles: 116.48 119.98 90.00
Last column: magnetic moment on the atom in μB.
Sites, in units of the cell vectors:
La1 0.234 0.702 0.969  -0.06
La2 0.234 0.703 0.469  -0.05
La3 0.268 0.304 0.536  0.01
La4 0.735 0.702 0.969  -0.06
La5 0.265 0.298 0.031  -0.06
La6 0.732 0.696 0.464  0.01
La7 0.766 0.297 0.531  -0.05
La8 0.766 0.298 0.031  -0.06
Rh1 0.500 0.500 0.000  -0.01
Rh2 0.500 0.500 0.500  -0.01
Rh3 0.000 0.500 0.500  -0.01
Br1 0.500 0.000 0.000  0.00
Br2 0.500 0.000 0.500  0.00
Br3 0.000 0.000 0.000  0.00
Br4 0.000 0.000 0.500  0.00
F1 0.000 0.500 0.000  0.00

Computed, not measured: an optimized crystal structure of La6Rh2Br3F at the PBE-GGA level of DFT.

Computed properties:
The calculation puts the formation energy from raw total energies at -1.368 eV per atom. Its total energy is -5.63 eV per atom. The space group is C2/m (12).

abc: 7.076 7.076 8.283
angles: 98.18 98.18 120.11
Last column: magnetic moment on the atom in μB.
Sites, in units of the cell vectors:
La1 0.932 0.600 0.797  0.07
La2 0.736 0.736 0.203  0.07
La3 0.068 0.400 0.203  0.07
La4 0.600 0.932 0.797  0.07
La5 0.264 0.264 0.797  0.07
La6 0.400 0.068 0.203  0.07
Rh1 0.334 0.666 0.000  0.03
Rh2 0.666 0.334 0.000  0.03
Br1 0.173 0.827 0.500  0.00
Br2 0.827 0.173 0.500  0.00
Br3 0.500 0.500 0.500  0.01
F1 0.000 0.000 0.000  0.00

Computed, not measured: an optimized crystal structure of La6Ru2Br3F at the PBE-GGA level of DFT.

Computed properties:
The calculation puts the formation energy from raw total energies at -1.283 eV per atom. Its total energy is -5.87 eV per atom. The space group is C2/m (12).

abc: 7.115 7.115 8.304
angles: 98.20 98.20 120.09
Sites, in units of the cell vectors:
La1 0.934 0.593 0.804
La2 0.724 0.724 0.195
La3 0.066 0.407 0.196
La4 0.593 0.934 0.804
La5 0.276 0.276 0.805
La6 0.407 0.066 0.196
Ru1 0.334 0.666 0.000
Ru2 0.666 0.334 0.000
Br1 0.171 0.829 0.500
Br2 0.829 0.171 0.500
Br3 0.500 0.500 0.500
F1 0.000 0.000 0.000

Computed, not measured: an optimized crystal structure of La2SBrF2 at the PBE-GGA level of DFT.

Computed properties:
The calculation puts the formation energy from raw total energies at -2.919 eV per atom. Its total energy is -6.15 eV per atom. The space group is P-3m1 (164).

abc: 4.173 4.173 8.502
angles: 90.00 90.00 120.00
Sites, in units of the cell vectors:
La1 0.333 0.667 0.713
La2 0.667 0.333 0.287
S1 0.000 0.000 0.500
Br1 0.000 0.000 0.000
F1 0.333 0.667 0.244
F2 0.667 0.333 0.756

Computed, not measured: an optimized crystal structure of LaTeSBrF at the PBE-GGA level of DFT.

Computed properties:
The calculation puts the formation energy from raw total energies at -1.827 eV per atom. As for the excess energy over the best structure of this formula in the dataset: 0.101 eV per formula unit. Its total energy is -4.98 eV per atom. The space group is Cm (8).

abc: 6.201 4.359 10.628
angles: 90.00 111.93 90.00
Sites, in units of the cell vectors:
S1 0.346 0.000 0.671
S2 0.346 0.500 0.171
Te1 0.357 0.000 0.054
Te2 0.357 0.500 0.554
F1 0.992 0.000 0.238
F2 0.992 0.500 0.738
Br1 0.745 0.000 0.440
Br2 0.745 0.500 0.940
La1 0.857 0.000 0.746
La2 0.857 0.500 0.246

Computed, not measured: an optimized crystal structure of LaTeSBrF at the PBE-GGA level of DFT.

Computed properties:
The calculation puts the formation energy from raw total energies at -1.846 eV per atom. As for the excess energy over the best structure of this formula in the dataset: 0.007 eV per formula unit. Its total energy is -4.99 eV per atom. The space group is P1 (1).

abc: 4.584 4.583 7.845
angles: 97.82 105.46 92.60
Sites, in units of the cell vectors:
S1 0.856 0.384 0.373
Te1 0.760 0.871 0.509
F1 0.200 0.990 0.102
Br1 0.626 0.448 0.876
La1 0.261 0.502 0.140

Computed, not measured: an optimized crystal structure of LaTeSBrF at the PBE-GGA level of DFT.

Computed properties:
The calculation puts the formation energy from raw total energies at -1.807 eV per atom. As for the excess energy over the best structure of this formula in the dataset: 0.201 eV per formula unit. Its total energy is -4.96 eV per atom. The space group is P1 (1).

abc: 3.907 5.101 8.477
angles: 81.76 76.70 67.27
Sites, in units of the cell vectors:
S1 0.967 0.413 0.751
Te1 0.758 0.912 0.667
F1 0.064 0.945 0.029
Br1 0.676 0.511 0.237
La1 0.432 0.218 0.019

Computed, not measured: an optimized crystal structure of LaTeSBrF at the PBE-GGA level of DFT.

Computed properties:
The calculation puts the formation energy from raw total energies at -1.824 eV per atom. As for the excess energy over the best structure of this formula in the dataset: 0.114 eV per formula unit. Its total energy is -4.97 eV per atom. The space group is Cm (8).

abc: 8.559 4.342 7.621
angles: 90.00 93.95 90.00
Sites, in units of the cell vectors:
S1 0.348 0.000 0.116
S2 0.348 0.500 0.616
Te1 0.494 0.000 0.584
Te2 0.494 0.500 0.084
F1 0.129 0.000 0.739
F2 0.129 0.500 0.239
Br1 0.901 0.000 0.052
Br2 0.901 0.500 0.552
La1 0.128 0.000 0.406
La2 0.128 0.500 0.906

Computed, not measured: an optimized crystal structure of LaTeSBrF at the PBE-GGA level of DFT.

Computed properties:
The calculation puts the formation energy from raw total energies at -1.818 eV per atom. As for the excess energy over the best structure of this formula in the dataset: 0.146 eV per formula unit. Its total energy is -4.97 eV per atom. The space group is Cm (8).

abc: 8.602 3.825 11.360
angles: 90.00 127.57 90.00
Sites, in units of the cell vectors:
S1 0.479 0.000 0.343
S2 0.479 0.500 0.843
Te1 0.271 0.000 0.414
Te2 0.271 0.500 0.914
F1 0.955 0.000 0.565
F2 0.955 0.500 0.065
Br1 0.794 0.000 0.768
Br2 0.794 0.500 0.268
La1 0.800 0.000 0.059
La2 0.800 0.500 0.559

Computed, not measured: an optimized crystal structure of LaTeSBrF at the PBE-GGA level of DFT.

Computed properties:
The calculation puts the formation energy from raw total energies at -1.778 eV per atom. As for the excess energy over the best structure of this formula in the dataset: 0.347 eV per formula unit. Its total energy is -4.93 eV per atom. The space group is P1 (1).

abc: 4.166 5.839 6.007
angles: 91.61 109.39 106.92
Sites, in units of the cell vectors:
S1 0.150 0.989 0.710
Te1 0.155 0.876 0.321
F1 0.994 0.491 0.901
Br1 0.655 0.374 0.325
La1 0.447 0.566 0.742

Computed, not measured: an optimized crystal structure of LaTeSBrF at the PBE-GGA level of DFT.

Computed properties:
The calculation puts the formation energy from raw total energies at -1.847 eV per atom. As for the excess energy over the best structure of this formula in the dataset: 0.000 eV per formula unit. Its total energy is -5.00 eV per atom. The space group is Pm (6).

abc: 4.532 5.885 5.951
angles: 90.00 98.15 90.00
Sites, in units of the cell vectors:
S1 0.641 0.500 0.731
Te1 0.130 0.500 0.515
F1 0.986 0.000 0.800
Br1 0.579 0.000 0.235
La1 0.468 0.000 0.719

Computed, not measured: an optimized crystal structure of LaSe2BrF at the PBE-GGA level of DFT.

Computed properties:
The calculation puts the formation energy from raw total energies at -1.002 eV per atom. As for the excess energy over the best structure of this formula in the dataset: 0.000 eV per formula unit. Its total energy is -4.09 eV per atom. The space group is P4/mmm (123).

abc: 4.571 4.571 5.433
angles: 90.00 90.00 90.00
Sites, in units of the cell vectors:
F1 0.000 0.000 0.000
Se1 0.000 0.500 0.000
Se2 0.500 0.000 0.000
Br1 0.000 0.000 0.500
La1 0.500 0.500 0.500

Among the records above, which one has the lowest formation energy from raw total energies?
La2SBrF2

What did the seventh record say?
Computed, not measured: an optimized crystal structure of LaTeSBrF at the PBE-GGA level of DFT.

Computed properties:
The calculation puts the formation energy from raw total energies at -1.807 eV per atom. As for the excess energy over the best structure of this formula in the dataset: 0.201 eV per formula unit. Its total energy is -4.96 eV per atom. The space group is P1 (1).

abc: 3.907 5.101 8.477
angles: 81.76 76.70 67.27
Sites, in units of the cell vectors:
S1 0.967 0.413 0.751
Te1 0.758 0.912 0.667
F1 0.064 0.945 0.029
Br1 0.676 0.511 0.237
La1 0.432 0.218 0.019

Repeat the second record exactly.
Computed, not measured: an optimized crystal structure of La6Rh2Br3F at the PBE-GGA level of DFT.

Computed properties:
The calculation puts the formation energy from raw total energies at -1.368 eV per atom. Its total energy is -5.63 eV per atom. The space group is C2/m (12).

abc: 7.076 7.076 8.283
angles: 98.18 98.18 120.11
Last column: magnetic moment on the atom in μB.
Sites, in units of the cell vectors:
La1 0.932 0.600 0.797  0.07
La2 0.736 0.736 0.203  0.07
La3 0.068 0.400 0.203  0.07
La4 0.600 0.932 0.797  0.07
La5 0.264 0.264 0.797  0.07
La6 0.400 0.068 0.203  0.07
Rh1 0.334 0.666 0.000  0.03
Rh2 0.666 0.334 0.000  0.03
Br1 0.173 0.827 0.500  0.00
Br2 0.827 0.173 0.500  0.00
Br3 0.500 0.500 0.500  0.01
F1 0.000 0.000 0.000  0.00